Model one:
Density functional theory data (GGA-PBE) for ReNiSe2 after structural relaxation.

Summary:
crystal system: trigonal
magnetization: 0.00 μB/cell

Lattice parameters (Å, degrees): 8.2470 8.2470 8.2470 22.23 22.23 22.23
Last column: nearest neighbours and their distance in Å.
Atoms (fractional coordinates):
Ni (0.0000, 0.0000, 0.0000)  2 Se 2.25
Se (0.9068, 0.9068, 0.9068)  1 Ni 2.25
Se (0.0932, 0.0932, 0.0932)  1 Ni 2.25
Re (0.5000, 0.5000, 0.5000)  6 Se 2.55

---

Model two:
Density functional theory data (GGA-PBE) for ReNiSe2 after structural relaxation.

Summary:
crystal system: trigonal
magnetization: 0.00 μB/cell

Lattice parameters (Å, degrees): 7.4838 7.4838 7.4838 24.21 24.21 24.21
Last column: nearest neighbours and their distance in Å.
Atoms (fractional coordinates):
Se (0.9976, 0.9976, 0.9976)  3 Ni 2.53, 3 Re 2.60
Se (0.5024, 0.5024, 0.5024)  3 Ni 2.53, 3 Re 2.60
Re (0.7500, 0.7500, 0.7500)  6 Se 2.60
Ni (0.2500, 0.2500, 0.2500)  6 Se 2.53

---

Energy ordering: model two at the bottom, the next structure 32 meV/atom above.